[1]
Entry from Alexandria: Ac3Dy3TmTe8 after structural relaxation (PBE-GGA).

## Properties
**Formation energy from raw total energies**: -1.414 eV per atom
**Fermi-level density of states**: 21.6 states/eV per cell
**M_tot**: 0.00 μB per formula unit

a = 8.9163 Å, b = 8.9163 Å, c = 22.7015 Å
α = 90.00°, β = 90.00°, γ = 120.00°
Space group R-3m (No. 166, hexagonal axes)
Asymmetric unit:
Ac1 0.0000 0.5000 0.0000 x9
Dy1 0.0000 0.5000 0.5000 x9
Tm1 0.0000 0.0000 0.5000 x3
Te1 0.0000 0.0000 0.2413 x6
Te2 0.0045 0.5022 0.7573 x18

[2]
Entry from Alexandria: Ac3DyTm3Te8 after structural relaxation (PBE-GGA).

## Properties
**Formation energy from raw total energies**: -1.390 eV per atom
**Fermi-level density of states**: 21.8 states/eV per cell
**M_tot**: 0.00 μB per formula unit

a = 8.8658 Å, b = 8.8658 Å, c = 22.6014 Å
α = 90.00°, β = 90.00°, γ = 120.00°
Space group R-3m (No. 166, hexagonal axes)
Asymmetric unit:
Ac1 0.0000 0.5000 0.0000 x9
Dy1 0.0000 0.0000 0.5000 x3
Tm1 0.0000 0.5000 0.5000 x9
Te1 0.0000 0.0000 0.2399 x6
Te2 0.0116 0.5058 0.7572 x18

[3]
Entry from Alexandria: Ac2DyTmTe5 after structural relaxation (PBE-GGA).

## Properties
**Formation energy from raw total energies**: -1.006 eV per atom
**Fermi-level density of states**: 6.8 states/eV per cell
**M_tot**: 0.00 μB per formula unit

a = 5.4669 Å, b = 5.4669 Å, c = 11.6227 Å
α = 90.00°, β = 90.00°, γ = 90.00°
Space group P4/mmm (No. 123)
Asymmetric unit:
Ac1 0.0000 0.0000 0.2037 x2
Dy1 0.5000 0.5000 0.5000 x1
Tm1 0.5000 0.5000 0.0000 x1
Te1 0.0000 0.0000 0.5000 x1
Te2 0.0000 0.5000 0.0000 x2
Te3 0.5000 0.5000 0.2544 x2

[4]
Entry from Alexandria: Ac2DyTmTe6 after structural relaxation (PBE-GGA).

## Properties
**Formation energy from raw total energies**: -1.434 eV per atom
**Fermi-level density of states**: 0.0 states/eV per cell
**M_tot**: 0.00 μB per formula unit

a = 8.0752 Å, b = 8.0752 Å, c = 20.9745 Å
α = 90.00°, β = 90.00°, γ = 120.00°
Space group R3 (No. 146, hexagonal axes)
Asymmetric unit:
Ac1 0.0000 0.0000 0.0000 x3
Ac2 0.0000 0.0000 0.4998 x3
Dy1 0.0000 0.0000 0.2018 x3
Tm1 0.0000 0.0000 0.7014 x3
Te1 0.0563 0.3431 0.7779 x9
Te2 0.0580 0.7112 0.2787 x9

[5]
Entry from Alexandria: Ac3DyY2Te6 after structural relaxation (PBE-GGA).

## Properties
**Formation energy from raw total energies**: -1.394 eV per atom
**Fermi-level density of states**: 10.6 states/eV per cell
**M_tot**: 0.00 μB per formula unit

a = 20.1742 Å, b = 4.4185 Å, c = 9.3668 Å
α = 90.00°, β = 107.42°, γ = 90.00°
Space group C2/m (No. 12)
Asymmetric unit:
Ac1 0.0000 0.0000 0.0000 x2
Ac2 0.1668 0.5000 0.3329 x4
Dy1 0.0000 0.0000 0.5000 x2
Y1 0.1666 0.5000 0.8327 x4
Te1 0.0057 0.5000 0.7344 x4
Te2 0.1605 0.0000 0.5975 x4
Te3 0.1726 0.0000 0.0679 x4

[6]
Entry from Alexandria: Ac3Dy3YTe8 after structural relaxation (PBE-GGA).

## Properties
**Formation energy from raw total energies**: -1.431 eV per atom
**Fermi-level density of states**: 22.3 states/eV per cell
**M_tot**: 0.00 μB per formula unit

a = 8.9353 Å, b = 8.9353 Å, c = 22.6547 Å
α = 90.00°, β = 90.00°, γ = 120.00°
Space group R-3m (No. 166, hexagonal axes)
Asymmetric unit:
Ac1 0.0000 0.5000 0.0000 x9
Dy1 0.0000 0.5000 0.5000 x9
Y1 0.0000 0.0000 0.5000 x3
Te1 0.0000 0.0000 0.2413 x6
Te2 0.0085 0.5042 0.7564 x18

[7]
Entry from Alexandria: Ac2DyTh after structural relaxation (PBE-GGA).

## Properties
**Fermi-level density of states**: 18.6 states/eV per cell
**M_tot**: 0.00 μB per formula unit
**Energy of formation from the pure elements**: 0.287 eV/atom
**Offset from the most stable computed form**: 15.8 kJ/mol of atoms

a = 3.6794 Å, b = 3.6794 Å, c = 39.4893 Å
α = 90.00°, β = 90.00°, γ = 120.00°
Space group R-3m (No. 166, hexagonal axes)
Asymmetric unit:
Ac1 0.0000 0.0000 0.0894 x6
Dy1 0.0000 0.0000 0.5000 x3
Th1 0.0000 0.0000 0.0000 x3

[8]
Entry from Alexandria: Ac2DyTh after structural relaxation (PBE-GGA).

## Properties
**Fermi-level density of states**: 7.7 states/eV per cell
**M_tot**: 0.00 μB per formula unit
**Energy of formation from the pure elements**: 0.123 eV/atom
**Offset from the most stable computed form**: 0.0 kJ/mol of atoms

a = 3.7702 Å, b = 3.7702 Å, c = 10.6278 Å
α = 90.00°, β = 90.00°, γ = 90.00°
Space group P4/mmm (No. 123)
Asymmetric unit:
Ac1 0.0000 0.0000 0.2475 x2
Dy1 0.5000 0.5000 0.5000 x1
Th1 0.5000 0.5000 0.0000 x1